Run one
Compound: Sr2AlTcSe6
Source: OQMD
Functional: PBE
Structure: relaxed

- SG = Fm-3m

abc: 7.0606 7.0606 7.0606
angles: 60.00 60.00 60.00
Last column: nearest neighbours and their distance in Å.
Fractional positions:
1 Sr 0.2500 0.2500 0.2500  12 Se 3.53
2 Sr 0.7500 0.7500 0.7500  12 Se 3.53
3 Al 0.0000 0.0000 0.0000  6 Se 2.48
4 Tc 0.5000 0.5000 0.5000  6 Se 2.51
5 Se 0.2487 0.2487 0.7513  1 Al 2.48, 1 Tc 2.51
6 Se 0.2487 0.7513 0.2487  1 Al 2.48, 1 Tc 2.51
7 Se 0.2487 0.7513 0.7513  1 Al 2.48, 1 Tc 2.51
8 Se 0.7513 0.2487 0.2487  1 Al 2.48, 1 Tc 2.51
9 Se 0.7513 0.2487 0.7513  1 Al 2.48, 1 Tc 2.51
10 Se 0.7513 0.7513 0.2487  1 Al 2.48, 1 Tc 2.51

Run two
Compound: Sr2AlTcSe6
Source: OQMD
Functional: PBE
Structure: relaxed

- SG = P-1

abc: 6.7237 6.7351 6.7583
angles: 65.36 65.73 65.44
Last column: nearest neighbours and their distance in Å.
Fractional positions:
1 Sr 0.2496 0.2489 0.2498  6 Se 3.02-3.38
2 Sr 0.7504 0.7511 0.7502  6 Se 3.02-3.38
3 Al 0.0000 0.0000 0.0000  6 Se 2.57-2.58
4 Tc 0.5000 0.5000 0.5000  6 Se 2.55
5 Se 0.1658 0.3342 0.7347  1 Tc 2.55, 1 Al 2.57
6 Se 0.2569 0.8333 0.6656  1 Tc 2.55, 1 Al 2.58
7 Se 0.3374 0.7406 0.1638  1 Tc 2.55, 1 Al 2.57
8 Se 0.6626 0.2594 0.8362  1 Tc 2.55, 1 Al 2.57
9 Se 0.7431 0.1667 0.3344  1 Tc 2.55, 1 Al 2.58
10 Se 0.8342 0.6658 0.2653  1 Tc 2.55, 1 Al 2.57

The least stable of them is run one.

Run one
Compound: Sm3Al
Source: OQMD
Functional: PBE
Structure: relaxed

- SG = P6_3/mmc

abc: 6.9975 6.9975 5.3721
angles: 90.00 90.00 120.00
Last column: nearest neighbours and their distance in Å.
Fractional positions:
1 Sm 0.1768 0.3536 0.2500  6 Sm 3.29-3.44, 4 Al 3.29-3.50
2 Sm 0.1768 0.8232 0.2500  6 Sm 3.29-3.44, 4 Al 3.29-3.50
3 Sm 0.3536 0.1768 0.7500  6 Sm 3.29-3.44, 4 Al 3.29-3.50
4 Sm 0.6464 0.8232 0.2500  6 Sm 3.29-3.44, 4 Al 3.29-3.50
5 Sm 0.8232 0.1768 0.7500  6 Sm 3.29-3.44, 4 Al 3.29-3.50
6 Sm 0.8232 0.6464 0.7500  6 Sm 3.29-3.44, 4 Al 3.29-3.50
7 Al 0.3333 0.6667 0.7500  12 Sm 3.29-3.50
8 Al 0.6667 0.3333 0.2500  12 Sm 3.29-3.50

Run two
Compound: Sm3Al
Source: OQMD
Functional: PBE
Structure: relaxed

- SG = Pm-3m

abc: 4.8465 4.8465 4.8465
angles: 90.00 90.00 90.00
Last column: nearest neighbours and their distance in Å.
Fractional positions:
1 Sm 0.0000 0.0000 0.5000  4 Al 3.43, 8 Sm 3.43
2 Sm 0.0000 0.5000 0.0000  4 Al 3.43, 8 Sm 3.43
3 Sm 0.5000 0.0000 0.0000  4 Al 3.43, 8 Sm 3.43
4 Al 0.5000 0.5000 0.5000  12 Sm 3.43

The least stable of them is run two.

Run one
Compound: Sm3Al2
Source: OQMD
Functional: PBE
Structure: relaxed

- SG = P4_2/mnm

abc: 8.4275 8.4275 7.6902
angles: 90.00 90.00 90.00
Last column: nearest neighbours and their distance in Å.
Fractional positions:
1 Sm 0.0000 0.5000 0.2500  4 Al 3.40, 8 Sm 3.59-3.74
2 Sm 0.0000 0.5000 0.7500  4 Al 3.40, 8 Sm 3.59-3.74
3 Sm 0.1490 0.1490 0.0000  6 Al 3.14-3.29
4 Sm 0.2020 0.2020 0.5000  6 Al 3.15-3.21
5 Sm 0.2980 0.7020 0.0000  6 Al 3.15-3.21
6 Sm 0.3510 0.6490 0.5000  6 Al 3.14-3.29
7 Sm 0.5000 0.0000 0.2500  4 Al 3.40, 8 Sm 3.59-3.74
8 Sm 0.5000 0.0000 0.7500  4 Al 3.40, 8 Sm 3.59-3.74
9 Sm 0.6490 0.3510 0.5000  6 Al 3.14-3.29
10 Sm 0.7020 0.2980 0.0000  6 Al 3.15-3.21
11 Sm 0.7980 0.7980 0.5000  6 Al 3.15-3.21
12 Sm 0.8510 0.8510 0.0000  6 Al 3.14-3.29
13 Al 0.1180 0.8820 0.3099  2 Al 2.81-2.92, 3 Sm 3.14-3.15
14 Al 0.1180 0.8820 0.6901  2 Al 2.81-2.92, 3 Sm 3.14-3.15
15 Al 0.3820 0.3820 0.1901  2 Al 2.81-2.92, 3 Sm 3.14-3.15
16 Al 0.3820 0.3820 0.8099  2 Al 2.81-2.92, 3 Sm 3.14-3.15
17 Al 0.6180 0.6180 0.1901  2 Al 2.81-2.92, 3 Sm 3.14-3.15
18 Al 0.6180 0.6180 0.8099  2 Al 2.81-2.92, 3 Sm 3.14-3.15
19 Al 0.8820 0.1180 0.3099  2 Al 2.81-2.92, 3 Sm 3.14-3.15
20 Al 0.8820 0.1180 0.6901  2 Al 2.81-2.92, 3 Sm 3.14-3.15

Run two
Compound: Sm3Al2
Source: OQMD
Functional: PBE
Structure: relaxed

- SG = R-3c

abc: 9.4847 9.4847 9.4847
angles: 40.18 40.18 40.18
Last column: nearest neighbours and their distance in Å.
Fractional positions:
1 Sm 0.0757 0.7500 0.4243  4 Al 3.05-3.08
2 Sm 0.2500 0.5757 0.9243  4 Al 3.05-3.08
3 Sm 0.4243 0.0757 0.7500  4 Al 3.05-3.08
4 Sm 0.5757 0.9243 0.2500  4 Al 3.05-3.08
5 Sm 0.7500 0.4243 0.0757  4 Al 3.05-3.08
6 Sm 0.9243 0.2500 0.5757  4 Al 3.05-3.08
7 Al 0.1644 0.1644 0.1644  6 Sm 3.05-3.08
8 Al 0.3356 0.3356 0.3356  6 Sm 3.05-3.08
9 Al 0.6644 0.6644 0.6644  6 Sm 3.05-3.08
10 Al 0.8356 0.8356 0.8356  6 Sm 3.05-3.08

The least stable of them is run two.

Run one
Compound: AlSnW
Source: OQMD
Functional: PBE
Structure: relaxed

- SG = F-43m

abc: 4.4127 4.4127 4.4127
angles: 60.00 60.00 60.00
Last column: nearest neighbours and their distance in Å.
Fractional positions:
1 Al 0.0000 0.0000 0.0000  4 Sn 2.70, 4 W 2.70
2 Sn 0.7500 0.7500 0.7500  4 Al 2.70
3 W 0.2500 0.2500 0.2500  4 Al 2.70

Run two
Compound: AlSnW
Source: OQMD
Functional: PBE
Structure: relaxed

- SG = F-43m

abc: 4.5021 4.5021 4.5021
angles: 60.00 60.00 60.00
Last column: nearest neighbours and their distance in Å.
Fractional positions:
1 Al 0.0000 0.0000 0.0000  4 W 2.76
2 Sn 0.5000 0.5000 0.5000  4 W 2.76
3 W 0.2500 0.2500 0.2500  4 Sn 2.76, 4 Al 2.76

The least stable of them is run one.